Record 1
12
Lattice="7.723 0.000 0.000 0.000 6.518 0.000 0.000 -3.259 6.337" Properties=species:S:1:pos:R:3 comment="PBE BaInAgAu3, optimized geometry" space_group="Cmcm, No. 63" pbc="T T T"
Ba 5.793 0.000 3.900
Ba 1.931 3.259 2.438
In 1.931 0.000 4.842
In 5.793 3.259 1.496
Ag 1.931 3.259 5.646
Ag 5.793 0.000 0.692
Au 1.931 0.000 2.106
Au 0.000 1.796 0.000
Au 3.862 4.722 0.000
Au 3.862 1.796 0.000
Au 0.000 4.722 0.000
Au 5.793 3.259 4.232

Record 2
6
Lattice="-0.358 -5.246 0.287 1.245 0.195 5.113 -6.047 0.492 1.454" Properties=species:S:1:pos:R:3 comment="PBE BaIn2Ag2Au, optimized geometry" space_group="P4/mmm, No. 123" pbc="T T T"
Ba -3.023 0.246 0.727
In -4.074 -2.158 3.786
In -1.085 -2.401 3.068
Ag -0.179 -2.623 0.143
Ag 0.623 0.097 2.556
Au 0.000 0.000 0.000

Record 3
10
Lattice="4.891 0.000 0.000 0.000 4.891 0.000 0.000 0.000 11.244" Properties=species:S:1:pos:R:3 comment="PBE Ba2In3AgAu4, optimized geometry" space_group="P-4m2, No. 115" pbc="T T T"
Ba 2.446 0.000 2.808
Ba 0.000 2.446 8.436
In 0.000 0.000 5.622
In 2.446 0.000 9.891
In 0.000 2.446 1.352
Ag 2.446 2.446 5.622
Au 2.446 2.446 0.000
Au 0.000 0.000 0.000
Au 2.446 0.000 7.112
Au 0.000 2.446 4.132

Record 4
11
Lattice="4.881 0.000 0.000 -2.441 4.227 0.000 0.000 0.000 15.963" Properties=species:S:1:pos:R:3 comment="PBE Ba3In2Ag2Au4, optimized geometry" space_group="P-3m1, No. 164" pbc="T T T"
Ba 0.000 0.000 11.640
Ba 0.000 0.000 0.000
Ba 0.000 0.000 4.323
In 2.441 1.409 6.842
In 0.000 2.818 9.121
Ag 2.441 1.409 13.801
Ag 0.000 2.818 2.162
Au 2.441 1.409 2.138
Au 0.000 2.818 13.825
Au 2.441 1.409 9.642
Au 0.000 2.818 6.321

Record 5
4
Lattice="-0.834 5.605 -0.746 -2.967 2.987 3.865 2.674 3.761 3.372" Properties=species:S:1:pos:R:3 comment="PBE KBaAgAu, optimized geometry" space_group="F-43m, No. 216" pbc="T T T"
K -0.563 6.177 3.245
Au -0.845 9.265 4.868
Ba 0.000 0.000 0.000
Ag -0.282 3.088 1.623

Record 6
6
Lattice="-2.948 -2.943 1.879 1.696 -0.810 -4.166 5.754 -3.795 3.080" Properties=species:S:1:pos:R:3 comment="PBE BaLi2AgAu2, optimized geometry" space_group="P-3m1, No. 164" pbc="T T T"
Ba 0.000 0.000 0.000
Li 3.822 -3.945 -0.184
Li 0.680 -3.604 0.978
Ag 2.877 -1.898 1.540
Au 1.803 -2.613 -1.265
Au 2.699 -4.936 2.059

Record 7
5
Lattice="6.307 0.000 0.000 0.000 6.307 0.000 0.000 0.000 4.888" Properties=species:S:1:pos:R:3 comment="PBE Ba2LiAgAu, optimized geometry" space_group="P4/mmm, No. 123" pbc="T T T"
Au 0.000 0.000 0.000
Ba 0.000 3.153 0.000
Ba 3.153 0.000 0.000
Ag 3.153 3.153 2.444
Li 0.000 0.000 2.444

Record 8
5
Lattice="-3.723 -1.662 1.720 -0.304 -2.827 -3.390 5.396 -1.991 4.064" Properties=species:S:1:pos:R:3 comment="PBE BaLiAgAu2, optimized geometry" space_group="I-4m2, No. 119" pbc="T T T"
Ba 0.000 0.000 0.000
Li -0.171 -2.949 2.474
Ag 1.539 -3.531 -0.081
Au -1.253 -3.197 -0.109
Au 2.621 -3.283 2.503

| no. | electronic total energy (eV per cell) |
| --- | --- |
| 1 | -38.19 |
| 2 | -17.26 |
| 3 | -32.96 |
| 4 | -35.57 |
| 5 | -10.29 |
| 6 | -18.14 |
| 7 | -13.10 |
| 8 | -15.76 |